A relaxed structure of KBe2VF8, computed with PBE with a Hubbard U.

Lattice parameters (Å, degrees): 8.3284 8.3284 8.3284 34.12 34.12 34.12
With the nearest neighbours (Å) after each atom.
Sites, in units of the cell vectors:
K 0.0000 0.0000 0.0000  6 F 2.90
Be 0.2415 0.2415 0.2415  4 F 1.49-1.59
Be 0.7585 0.7585 0.7585  4 F 1.49-1.59
V 0.5000 0.5000 0.5000  6 F 1.98
F 0.1024 0.7479 0.4999  1 Be 1.59
F 0.2521 0.5001 0.8976  1 Be 1.59
F 0.3047 0.3047 0.3047  1 Be 1.49
F 0.4999 0.1024 0.7479  1 Be 1.59
F 0.5001 0.8976 0.2521  1 Be 1.59
F 0.6953 0.6953 0.6953  1 Be 1.49
F 0.7479 0.4999 0.1024  1 Be 1.59
F 0.8976 0.2521 0.5001  1 Be 1.59

Results
uncorrected energy = -5.665 eV/atom
magnetization = 2.00 μB per formula unit
SG = R-3 (148)